# 1
# ZnFe2Hg

An optimized crystal structure of ZnFe2Hg (PBE, the Alexandria database).

Computed properties:
Total moment: 1.2880 μB per atom
E_tot: -32.5 eV per cell
Energy relative to the elements: 564 meV/atom
Volume: 16.35 Å³/atom

Cell and atoms, written as CIF:
```
data_ZnFe2Hg
_cell_length_a 3.738
_cell_length_b 3.738
_cell_length_c 9.726
_cell_angle_alpha 78.92
_cell_angle_beta 78.92
_cell_angle_gamma 90.00
_symmetry_space_group_name_H-M 'P 1'
_symmetry_Int_Tables_number 1
loop_
_symmetry_equiv_pos_as_xyz
'x,y,z'
loop_
_atom_site_label
_atom_site_type_symbol
_atom_site_fract_x
_atom_site_fract_y
_atom_site_fract_z
Fe1 Fe 0.875 0.853 0.750
Fe2 Fe 0.147 0.625 0.250
Fe3 Fe 0.375 0.397 0.750
Fe4 Fe 0.603 0.125 0.250
Hg1 Hg 0.000 0.000 0.000
Hg2 Hg 0.750 0.250 0.500
Zn1 Zn 0.500 0.500 0.000
Zn2 Zn 0.250 0.750 0.500
```


# 2
# Zn2FeHg

An optimized crystal structure of Zn2FeHg (PBE, the Alexandria database).

Computed properties:
Total moment: 0.6108 μB per atom
E_tot: -10.4 eV per cell
Energy relative to the elements: 217 meV/atom
Volume: 16.56 Å³/atom

Cell and atoms, written as CIF:
```
data_Zn2FeHg
_cell_length_a 9.478
_cell_length_b 9.478
_cell_length_c 9.478
_cell_angle_alpha 17.37
_cell_angle_beta 17.37
_cell_angle_gamma 17.37
_symmetry_space_group_name_H-M 'P 1'
_symmetry_Int_Tables_number 1
loop_
_symmetry_equiv_pos_as_xyz
'x,y,z'
loop_
_atom_site_label
_atom_site_type_symbol
_atom_site_fract_x
_atom_site_fract_y
_atom_site_fract_z
Zn1 Zn 0.487 0.487 0.487
Zn2 Zn 0.013 0.013 0.013
Hg1 Hg 0.250 0.250 0.250
Fe1 Fe 0.750 0.750 0.750
```


# 3
# Zn3FeHg

An optimized crystal structure of Zn3FeHg (PBE, the Alexandria database).

Computed properties:
Total moment: 0.4087 μB per atom
Relative energy among the computed polymorphs: 0.000 eV per atom
E_tot: -10.1 eV per cell
Energy relative to the elements: 501 meV/atom
Volume: 20.89 Å³/atom

Cell and atoms, written as CIF:
```
data_Zn3FeHg
_cell_length_a 4.709
_cell_length_b 4.709
_cell_length_c 4.709
_cell_angle_alpha 90.00
_cell_angle_beta 90.00
_cell_angle_gamma 90.00
_symmetry_space_group_name_H-M 'P 1'
_symmetry_Int_Tables_number 1
loop_
_symmetry_equiv_pos_as_xyz
'x,y,z'
loop_
_atom_site_label
_atom_site_type_symbol
_atom_site_fract_x
_atom_site_fract_y
_atom_site_fract_z
Fe1 Fe 0.000 0.000 0.000
Zn1 Zn 0.500 0.000 0.000
Zn2 Zn 0.000 0.000 0.500
Zn3 Zn 0.000 0.500 0.000
Hg1 Hg 0.500 0.500 0.500
```


# 4
# Zn2FeHg

An optimized crystal structure of Zn2FeHg (PBE, the Alexandria database).

Computed properties:
Total moment: 0.6478 μB per atom
E_tot: -10.2 eV per cell
Energy relative to the elements: 289 meV/atom
Volume: 16.42 Å³/atom

Cell and atoms, written as CIF:
```
data_Zn2FeHg
_cell_length_a 9.288
_cell_length_b 9.288
_cell_length_c 9.288
_cell_angle_alpha 17.84
_cell_angle_beta 17.84
_cell_angle_gamma 17.84
_symmetry_space_group_name_H-M 'P 1'
_symmetry_Int_Tables_number 1
loop_
_symmetry_equiv_pos_as_xyz
'x,y,z'
loop_
_atom_site_label
_atom_site_type_symbol
_atom_site_fract_x
_atom_site_fract_y
_atom_site_fract_z
Hg1 Hg 0.245 0.245 0.245
Zn1 Zn 0.755 0.755 0.755
Zn2 Zn 0.007 0.007 0.007
Fe1 Fe 0.494 0.494 0.494
```


# 5
# ZnFe2Hg

An optimized crystal structure of ZnFe2Hg (PBE, the Alexandria database).

Computed properties:
Total moment: 1.2481 μB per atom
E_tot: -17.5 eV per cell
Energy relative to the elements: 261 meV/atom
Volume: 14.67 Å³/atom

Cell and atoms, written as CIF:
```
data_ZnFe2Hg
_cell_length_a 4.881
_cell_length_b 4.881
_cell_length_c 4.881
_cell_angle_alpha 134.28
_cell_angle_beta 134.28
_cell_angle_gamma 66.66
_symmetry_space_group_name_H-M 'P 1'
_symmetry_Int_Tables_number 1
loop_
_symmetry_equiv_pos_as_xyz
'x,y,z'
loop_
_atom_site_label
_atom_site_type_symbol
_atom_site_fract_x
_atom_site_fract_y
_atom_site_fract_z
Fe1 Fe 0.500 0.500 0.000
Fe2 Fe 0.000 0.000 0.000
Zn1 Zn 0.750 0.250 0.500
Hg1 Hg 0.250 0.750 0.500
```


# 6
# ZnFe3Hg

An optimized crystal structure of ZnFe3Hg (PBE, the Alexandria database).

Computed properties:
Total moment: 1.8751 μB per atom
Relative energy among the computed polymorphs: 0.554 eV per atom
E_tot: -19.0 eV per cell
Energy relative to the elements: 1600 meV/atom
Volume: 22.93 Å³/atom

Cell and atoms, written as CIF:
```
data_ZnFe3Hg
_cell_length_a 4.858
_cell_length_b 4.858
_cell_length_c 4.858
_cell_angle_alpha 90.00
_cell_angle_beta 90.00
_cell_angle_gamma 90.00
_symmetry_space_group_name_H-M 'P 1'
_symmetry_Int_Tables_number 1
loop_
_symmetry_equiv_pos_as_xyz
'x,y,z'
loop_
_atom_site_label
_atom_site_type_symbol
_atom_site_fract_x
_atom_site_fract_y
_atom_site_fract_z
Fe1 Fe 0.000 0.000 0.500
Fe2 Fe 0.500 0.000 0.000
Fe3 Fe 0.000 0.500 0.000
Zn1 Zn 0.500 0.500 0.500
Hg1 Hg 0.000 0.000 0.000
```


# 7
# Zn2FeHg

An optimized crystal structure of Zn2FeHg (PBE, the Alexandria database).

Computed properties:
Total moment: 0.6075 μB per atom
E_tot: -10.3 eV per cell
Energy relative to the elements: 246 meV/atom
Volume: 16.03 Å³/atom

Cell and atoms, written as CIF:
```
data_Zn2FeHg
_cell_length_a 4.415
_cell_length_b 2.842
_cell_length_c 5.120
_cell_angle_alpha 86.45
_cell_angle_beta 90.00
_cell_angle_gamma 90.00
_symmetry_space_group_name_H-M 'P 1'
_symmetry_Int_Tables_number 1
loop_
_symmetry_equiv_pos_as_xyz
'x,y,z'
loop_
_atom_site_label
_atom_site_type_symbol
_atom_site_fract_x
_atom_site_fract_y
_atom_site_fract_z
Zn1 Zn 0.000 0.516 0.467
Zn2 Zn 0.000 0.984 0.033
Fe1 Fe 0.500 0.250 0.250
Hg1 Hg 0.500 0.750 0.750
```


# 8
# ZnFe2Hg

An optimized crystal structure of ZnFe2Hg (PBE, the Alexandria database).

Computed properties:
Total moment: 1.2623 μB per atom
E_tot: -17.4 eV per cell
Energy relative to the elements: 281 meV/atom
Volume: 14.91 Å³/atom

Cell and atoms, written as CIF:
```
data_ZnFe2Hg
_cell_length_a 5.132
_cell_length_b 5.132
_cell_length_c 4.451
_cell_angle_alpha 63.40
_cell_angle_beta 63.40
_cell_angle_gamma 35.18
_symmetry_space_group_name_H-M 'P 1'
_symmetry_Int_Tables_number 1
loop_
_symmetry_equiv_pos_as_xyz
'x,y,z'
loop_
_atom_site_label
_atom_site_type_symbol
_atom_site_fract_x
_atom_site_fract_y
_atom_site_fract_z
Fe1 Fe 0.726 0.726 0.772
Fe2 Fe 0.016 0.016 0.985
Hg1 Hg 0.495 0.495 0.506
Zn1 Zn 0.263 0.263 0.237
```


> Among the records above, which one has the highest E_tot?

Zn3FeHg


What did the eighth record say?
# ZnFe2Hg

An optimized crystal structure of ZnFe2Hg (PBE, the Alexandria database).

Computed properties:
Total moment: 1.2623 μB per atom
E_tot: -17.4 eV per cell
Energy relative to the elements: 281 meV/atom
Volume: 14.91 Å³/atom

Cell and atoms, written as CIF:
```
data_ZnFe2Hg
_cell_length_a 5.132
_cell_length_b 5.132
_cell_length_c 4.451
_cell_angle_alpha 63.40
_cell_angle_beta 63.40
_cell_angle_gamma 35.18
_symmetry_space_group_name_H-M 'P 1'
_symmetry_Int_Tables_number 1
loop_
_symmetry_equiv_pos_as_xyz
'x,y,z'
loop_
_atom_site_label
_atom_site_type_symbol
_atom_site_fract_x
_atom_site_fract_y
_atom_site_fract_z
Fe1 Fe 0.726 0.726 0.772
Fe2 Fe 0.016 0.016 0.985
Hg1 Hg 0.495 0.495 0.506
Zn1 Zn 0.263 0.263 0.237
```


What did the seventh record say?
# Zn2FeHg

An optimized crystal structure of Zn2FeHg (PBE, the Alexandria database).

Computed properties:
Total moment: 0.6075 μB per atom
E_tot: -10.3 eV per cell
Energy relative to the elements: 246 meV/atom
Volume: 16.03 Å³/atom

Cell and atoms, written as CIF:
```
data_Zn2FeHg
_cell_length_a 4.415
_cell_length_b 2.842
_cell_length_c 5.120
_cell_angle_alpha 86.45
_cell_angle_beta 90.00
_cell_angle_gamma 90.00
_symmetry_space_group_name_H-M 'P 1'
_symmetry_Int_Tables_number 1
loop_
_symmetry_equiv_pos_as_xyz
'x,y,z'
loop_
_atom_site_label
_atom_site_type_symbol
_atom_site_fract_x
_atom_site_fract_y
_atom_site_fract_z
Zn1 Zn 0.000 0.516 0.467
Zn2 Zn 0.000 0.984 0.033
Fe1 Fe 0.500 0.250 0.250
Hg1 Hg 0.500 0.750 0.750
```